Entry 1:
Density functional theory data (PBE) for a relaxed LaCl2F crystal.

Energy relative to the lowest polymorph listed for this composition in meV/atom: 780
Formation energy (no corrections) in eV per atom: -2.210
Density of states at the Fermi level in states/eV/cell: 0.0

Cell lengths 4.4384, 4.4384, 18.6772 Å; angles 90.00, 90.00, 90.00 degrees
Last column: nearest neighbours and their distance in Å.
Space group I-42d (No. 122)
Unique sites:
La 0.0000 0.0000 0.0000 (multiplicity 4)  4 Cl 2.79
Cl 0.2381 0.2500 0.1250 (multiplicity 8)  2 La 2.79, 2 F 2.83, 2 Cl 3.06
F 0.0000 0.0000 0.5000 (multiplicity 4)  4 Cl 2.83, 4 La 3.14

Entry 2:
Density functional theory data (PBE) for a relaxed LaClF crystal.

Energy relative to the lowest polymorph listed for this composition in meV/atom: 137
Formation energy (no corrections) in eV per atom: -2.670
Density of states at the Fermi level in states/eV/cell: 2.5

Cell lengths 3.4818, 3.4818, 9.9529 Å; angles 90.00, 90.00, 90.00 degrees
Last column: nearest neighbours and their distance in Å.
Space group I4mm (No. 107)
Unique sites:
La 0.0000 0.0000 0.0000 (multiplicity 2)  4 F 2.64
Cl 0.0000 0.0000 0.3163 (multiplicity 2)  1 F 2.79, 4 La 3.07
F 0.0000 0.0000 0.5962 (multiplicity 2)  4 La 2.64, 1 Cl 2.79

Entry 3:
Density functional theory data (PBE) for a relaxed LaClF crystal.

Energy relative to the lowest polymorph listed for this composition in meV/atom: 156
Formation energy (no corrections) in eV per atom: -2.651
Density of states at the Fermi level in states/eV/cell: 4.5

Cell lengths 3.4607, 11.9568, 6.6906 Å; angles 90.00, 90.00, 90.00 degrees
Last column: nearest neighbours and their distance in Å.
Space group Cmcm (No. 63)
Unique sites:
La 0.0000 0.0000 0.0000 (multiplicity 4)  4 F 2.62
Cl 0.0000 0.3461 0.2500 (multiplicity 4)  1 F 2.87, 4 La 3.03
F 0.0000 0.4139 0.7500 (multiplicity 4)  4 La 2.62, 1 Cl 2.87

Entry 4:
Density functional theory data (PBE) for a relaxed LaCl2F crystal.

Energy relative to the lowest polymorph listed for this composition in meV/atom: 0
Formation energy (no corrections) in eV per atom: -2.990
Density of states at the Fermi level in states/eV/cell: 0.0

Cell lengths 7.2602, 4.1915, 7.2693 Å; angles 90.00, 108.72, 90.00 degrees
Last column: nearest neighbours and their distance in Å.
Space group Cm (No. 8)
Unique sites:
La 0.0000 0.0000 0.0000 (multiplicity 2)  3 F 2.42
Cl 0.0837 0.5000 0.7415 (multiplicity 2)  3 La 3.00, 3 F 3.00-3.01
Cl 0.2499 0.5000 0.2590 (multiplicity 2)  3 F 3.01, 3 La 3.01
F 0.3334 0.0000 0.0001 (multiplicity 2)  3 La 2.42

Entry 5:
Density functional theory data (PBE) for a relaxed LaNClF2 crystal.

Energy relative to the lowest polymorph listed for this composition in meV/atom: 0
Formation energy (no corrections) in eV per atom: -1.589
Density of states at the Fermi level in states/eV/cell: 3.8

Cell lengths 4.5503, 4.5503, 5.3399 Å; angles 90.00, 90.00, 90.00 degrees
Last column: nearest neighbours and their distance in Å.
Space group P4/mmm (No. 123)
Unique sites:
La 0.0000 0.0000 0.0000 (multiplicity 1)  4 F 2.28
N 0.0000 0.0000 0.5000 (multiplicity 1)  2 La 2.67
Cl 0.5000 0.5000 0.5000 (multiplicity 1)  4 N 3.22, 8 F 3.51
F 0.0000 0.5000 0.0000 (multiplicity 2)  2 La 2.28

Entry 6:
Density functional theory data (PBE) for a relaxed LaNClF2 crystal.

Energy relative to the lowest polymorph listed for this composition in meV/atom: 885
Formation energy (no corrections) in eV per atom: -0.704
Density of states at the Fermi level in states/eV/cell: 2.1

Cell lengths 4.3837, 4.3837, 4.0936 Å; angles 90.00, 90.00, 90.00 degrees
Last column: nearest neighbours and their distance in Å.
Space group P4/mmm (No. 123)
Unique sites:
La 0.0000 0.0000 0.0000 (multiplicity 1)  8 F 3.00, 4 N 3.10
N 0.5000 0.5000 0.0000 (multiplicity 1)  2 Cl 2.05
Cl 0.5000 0.5000 0.5000 (multiplicity 1)  2 N 2.05, 4 F 2.19
F 0.0000 0.5000 0.5000 (multiplicity 2)  2 Cl 2.19